No. 1
Density functional theory data (GGA-PBE) for an optimized crystal structure of ZnCuNF2.

As for the density of states at the Fermi level: 2.01 states/eV/f.u.

The space group is P4/mmm (No. 123) and the conventional cell measures 3.880, 3.880 and 3.927 Å, with angles of 90.00, 90.00 and 90.00 degrees. Symmetry generates all atoms from Zn at (0.000, 0.000, 0.000), Cu at (0.500, 0.500, 0.500), N at (0.500, 0.500, 0.000) and F at (0.000, 0.500, 0.500).


No. 2
Density functional theory data (GGA-PBE) for an optimized crystal structure of ZnCuN2F.

As for the density of states at the Fermi level: 1.68 states/eV/f.u.

The space group is P4/mmm (No. 123) and the conventional cell measures 3.693, 3.693 and 4.312 Å, with angles of 90.00, 90.00 and 90.00 degrees. Symmetry generates all atoms from Zn at (0.000, 0.000, 0.000), Cu at (0.500, 0.500, 0.500), N at (0.000, 0.500, 0.500) and F at (0.500, 0.500, 0.000).


No. 3
Density functional theory data (GGA-PBE) for an optimized crystal structure of ZrCuN2F.

As for the density of states at the Fermi level: 3.82 states/eV/f.u.

The space group is P4/mmm (No. 123) and the conventional cell measures 4.230, 4.230 and 4.144 Å, with angles of 90.00, 90.00 and 90.00 degrees. Symmetry generates all atoms from Zr at (0.000, 0.000, 0.000), Cu at (0.500, 0.500, 0.500), N at (0.000, 0.500, 0.000) and F at (0.000, 0.000, 0.500).


No. 4
Density functional theory data (GGA-PBE) for an optimized crystal structure of ZrCuN2F.

As for the density of states at the Fermi level: 1.76 states/eV/f.u.

The space group is P4/mmm (No. 123) and the conventional cell measures 3.823, 3.823 and 3.668 Å, with angles of 90.00, 90.00 and 90.00 degrees. Symmetry generates all atoms from Zr at (0.000, 0.000, 0.000), Cu at (0.500, 0.500, 0.500), N at (0.000, 0.500, 0.500) and F at (0.500, 0.500, 0.000).


No. 5
Density functional theory data (GGA-PBE) for an optimized crystal structure of NaCu2F8.

As for the density of states at the Fermi level: 16.23 states/eV/f.u.

The space group is I422 (No. 97) and the conventional cell measures 5.403, 5.403 and 10.573 Å, with angles of 90.00, 90.00 and 90.00 degrees. Symmetry generates all atoms from Na at (0.000, 0.000, 0.000), Cu at (0.000, 0.500, 0.250) and F at (0.162, 0.330, 0.867).


No. 6
Density functional theory data (GGA-PBE) for an optimized crystal structure of Na3CuF6.

The space group is Fmmm (No. 69) and the conventional cell measures 6.877, 8.051 and 10.156 Å, with angles of 90.00, 90.00 and 90.00 degrees. Symmetry generates all atoms from Na at (0.000, 0.000, 0.000), Na at (0.250, 0.250, 0.250), Cu at (0.000, 0.000, 0.500), F at (0.000, 0.236, 0.500) and F at (0.204, 0.000, 0.369).


Number 1: energy above the lowest structure with this stoichiometry 0.000 kcal/mol of atoms. Number 2: energy above the lowest structure with this stoichiometry 0.000 kcal/mol of atoms. Number 3: energy above the lowest structure with this stoichiometry 0.000 kcal/mol of atoms. Number 4: energy above the lowest structure with this stoichiometry 0.459 kcal/mol of atoms. Number 5: energy above the lowest structure with this stoichiometry 0.153 kcal/mol of atoms. Number 6: energy above the lowest structure with this stoichiometry 2.163 kcal/mol of atoms.